Entry 1:
{"formula": "CaP2PbO", "functional": "PBE", "state": "relaxed", "lattice_angstrom": [[4.531, 0.000, 0.000], [0.000, 4.531, 0.000], [0.000, 0.000, 4.760]], "species": ["Ca", "P", "P", "Pb", "O"], "frac_coords": [[0.000, 0.000, 0.000], [0.000, 0.500, 0.500], [0.500, 0.000, 0.500], [0.500, 0.500, 0.000], [0.500, 0.500, 0.500]], "formation_energy_uncorrected_ev_per_fu": -0.5}

---

Entry 2:
{"formula": "Ho4Bi2P", "functional": "PBE", "state": "relaxed", "lattice_angstrom": [[6.760, 0.000, 0.000], [0.000, 6.650, 0.000], [-3.169, 0.000, 8.854]], "species": ["Ho", "Ho", "Ho", "Ho", "Ho", "Ho", "Ho", "Ho", "Bi", "Bi", "Bi", "Bi", "P", "P"], "frac_coords": [[0.002, 0.003, 0.256], [0.002, 0.497, 0.256], [0.403, 0.750, 0.068], [0.424, 0.750, 0.634], [0.576, 0.250, 0.366], [0.597, 0.250, 0.932], [0.998, 0.503, 0.744], [0.998, 0.997, 0.744], [0.202, 0.250, 0.046], [0.203, 0.250, 0.552], [0.797, 0.750, 0.448], [0.798, 0.750, 0.954], [0.333, 0.750, 0.333], [0.667, 0.250, 0.667]], "formation_energy_ev_per_atom": -0.708}

---

Entry 3:
{"formula": "Cs4PuPb3Br12", "functional": "PBE", "state": "relaxed", "lattice_angstrom": [[-5.990, 5.990, 5.990], [5.990, -5.990, 5.990], [5.990, 5.990, -5.990]], "species": ["Cs", "Cs", "Cs", "Cs", "Pu", "Pb", "Pb", "Pb", "Br", "Br", "Br", "Br", "Br", "Br", "Br", "Br", "Br", "Br", "Br", "Br"], "frac_coords": [[0.000, 0.000, 0.500], [0.000, 0.500, 0.000], [0.500, 0.000, 0.000], [0.500, 0.500, 0.500], [0.000, 0.000, 0.000], [0.000, 0.500, 0.500], [0.500, 0.000, 0.500], [0.500, 0.500, 0.000], [0.000, 0.245, 0.245], [0.000, 0.755, 0.755], [0.245, 0.000, 0.245], [0.245, 0.245, 0.000], [0.250, 0.500, 0.750], [0.250, 0.750, 0.500], [0.500, 0.250, 0.750], [0.500, 0.750, 0.250], [0.750, 0.250, 0.500], [0.750, 0.500, 0.250], [0.755, 0.000, 0.755], [0.755, 0.755, 0.000]], "formation_energy_uncorrected_ev_per_fu": -27.2}

---

Entry 4:
{"formula": "LiTlRu2", "functional": "PBE", "state": "relaxed", "lattice_angstrom": [[3.250, 0.000, 0.000], [0.000, 3.250, 0.000], [0.000, 0.000, 5.896]], "species": ["Li", "Tl", "Ru", "Ru"], "frac_coords": [[0.000, 0.000, 0.000], [0.000, 0.000, 0.500], [0.500, 0.500, 0.204], [0.500, 0.500, 0.796]], "formation_energy_ev_per_atom": 0.534}

---

Entry 5:
{"formula": "CaTlZn2", "functional": "PBE", "state": "relaxed", "lattice_angstrom": [[-1.995, 2.503, 4.702], [1.995, -2.503, 4.702], [1.995, 2.503, -4.702]], "species": ["Ca", "Tl", "Zn", "Zn"], "frac_coords": [[0.000, 0.000, 0.000], [0.719, 0.219, 0.500], [0.272, 0.772, 0.500], [0.460, 0.460, 0.000]], "formation_energy_ev_per_atom": -0.110}

---

Entry 6:
{"formula": "Pr12Y3Al5", "functional": "PBE", "state": "relaxed", "lattice_angstrom": [[-9.241, 9.241, 9.241], [9.241, -9.241, 9.241], [9.241, 9.241, -9.241]], "species": ["Pr", "Pr", "Pr", "Pr", "Pr", "Pr", "Pr", "Pr", "Pr", "Pr", "Pr", "Pr", "Pr", "Pr", "Pr", "Pr", "Pr", "Pr", "Pr", "Pr", "Pr", "Pr", "Pr", "Pr", "Pr", "Pr", "Pr", "Pr", "Pr", "Pr", "Pr", "Pr", "Pr", "Pr", "Pr", "Pr", "Pr", "Pr", "Pr", "Pr", "Pr", "Pr", "Pr", "Pr", "Pr", "Pr", "Pr", "Pr", "Y", "Y", "Y", "Y", "Y", "Y", "Y", "Y", "Y", "Y", "Y", "Y", "Al", "Al", "Al", "Al", "Al", "Al", "Al", "Al", "Al", "Al", "Al", "Al", "Al", "Al", "Al", "Al", "Al", "Al", "Al", "Al"], "frac_coords": [[0.043, 0.214, 0.116], [0.043, 0.330, 0.927], [0.073, 0.616, 0.402], [0.073, 0.957, 0.670], [0.098, 0.714, 0.670], [0.098, 0.884, 0.427], [0.116, 0.043, 0.214], [0.116, 0.573, 0.902], [0.170, 0.214, 0.598], [0.170, 0.457, 0.573], [0.214, 0.116, 0.043], [0.214, 0.598, 0.170], [0.286, 0.330, 0.902], [0.286, 0.457, 0.384], [0.330, 0.902, 0.286], [0.330, 0.927, 0.043], [0.384, 0.286, 0.457], [0.384, 0.598, 0.927], [0.402, 0.073, 0.616], [0.402, 0.830, 0.786], [0.427, 0.098, 0.884], [0.427, 0.830, 0.543], [0.457, 0.384, 0.286], [0.457, 0.573, 0.170], [0.543, 0.427, 0.830], [0.543, 0.616, 0.714], [0.573, 0.170, 0.457], [0.573, 0.902, 0.116], [0.598, 0.170, 0.214], [0.598, 0.927, 0.384], [0.616, 0.402, 0.073], [0.616, 0.714, 0.543], [0.670, 0.073, 0.957], [0.670, 0.098, 0.714], [0.714, 0.543, 0.616], [0.714, 0.670, 0.098], [0.786, 0.402, 0.830], [0.786, 0.884, 0.957], [0.830, 0.543, 0.427], [0.830, 0.786, 0.402], [0.884, 0.427, 0.098], [0.884, 0.957, 0.786], [0.902, 0.116, 0.573], [0.902, 0.286, 0.330], [0.927, 0.043, 0.330], [0.927, 0.384, 0.598], [0.957, 0.670, 0.073], [0.957, 0.786, 0.884], [0.125, 0.250, 0.375], [0.125, 0.375, 0.750], [0.250, 0.375, 0.125], [0.250, 0.875, 0.625], [0.375, 0.125, 0.250], [0.375, 0.750, 0.125], [0.625, 0.250, 0.875], [0.625, 0.875, 0.750], [0.750, 0.125, 0.375], [0.750, 0.625, 0.875], [0.875, 0.625, 0.250], [0.875, 0.750, 0.625], [0.000, 0.000, 0.000], [0.000, 0.000, 0.500], [0.000, 0.500, 0.000], [0.000, 0.500, 0.500], [0.125, 0.750, 0.875], [0.125, 0.875, 0.250], [0.250, 0.125, 0.875], [0.250, 0.625, 0.375], [0.375, 0.250, 0.625], [0.375, 0.625, 0.750], [0.500, 0.000, 0.000], [0.500, 0.000, 0.500], [0.500, 0.500, 0.000], [0.500, 0.500, 0.500], [0.625, 0.375, 0.250], [0.625, 0.750, 0.375], [0.750, 0.375, 0.625], [0.750, 0.875, 0.125], [0.875, 0.125, 0.750], [0.875, 0.250, 0.125]], "formation_energy_ev_per_atom": 0.562}

---

Entry 7:
{"formula": "Pm8PdRh3I4", "functional": "PBE", "state": "relaxed", "lattice_angstrom": [[4.177, 2.411, 8.088], [-4.177, 2.411, 8.088], [0.000, -4.823, 8.088]], "species": ["Pm", "Pm", "Pm", "Pm", "Pm", "Pm", "Pm", "Pm", "Pd", "Rh", "Rh", "Rh", "I", "I", "I", "I"], "frac_coords": [[0.221, 0.733, 0.733], [0.229, 0.229, 0.229], [0.267, 0.267, 0.779], [0.267, 0.779, 0.267], [0.733, 0.221, 0.733], [0.733, 0.733, 0.221], [0.771, 0.771, 0.771], [0.779, 0.267, 0.267], [0.500, 0.500, 0.500], [0.000, 0.000, 0.500], [0.000, 0.500, 0.000], [0.500, 0.000, 0.000], [0.000, 0.000, 0.000], [0.000, 0.500, 0.500], [0.500, 0.000, 0.500], [0.500, 0.500, 0.000]], "formation_energy_uncorrected_ev_per_fu": -15.0}

---

Entry 8:
{"formula": "Ag2Pb", "functional": "PBE", "state": "relaxed", "lattice_angstrom": [[6.878, 0.000, 0.000], [0.000, 6.878, 0.000], [0.000, 0.000, 6.878]], "species": ["Ag", "Ag", "Ag", "Ag", "Ag", "Ag", "Ag", "Ag", "Pb", "Pb", "Pb", "Pb"], "frac_coords": [[0.117, 0.117, 0.117], [0.117, 0.383, 0.617], [0.383, 0.617, 0.117], [0.383, 0.883, 0.617], [0.617, 0.117, 0.383], [0.617, 0.383, 0.883], [0.883, 0.617, 0.383], [0.883, 0.883, 0.883], [0.000, 0.000, 0.500], [0.000, 0.500, 0.000], [0.500, 0.000, 0.000], [0.500, 0.500, 0.500]], "formation_energy_ev_per_atom": 0.462}